Entry 1
Material: KAs3Ru
Method: DFT, PBE
State: optimized geometry

```
data_KAs3Ru
_cell_length_a 5.1089
_cell_length_b 5.1089
_cell_length_c 5.1089
_cell_angle_alpha 90.00
_cell_angle_beta 90.00
_cell_angle_gamma 90.00
_symmetry_space_group_name_H-M 'P 1'
_symmetry_Int_Tables_number 1
loop_
_symmetry_equiv_pos_as_xyz
'x,y,z'
loop_
_atom_site_label
_atom_site_fract_x
_atom_site_fract_y
_atom_site_fract_z
_atom_site_occupancy
K1 0.0000 0.0000 0.0000 1
As1 0.0000 0.0000 0.5000 1
As2 0.0000 0.5000 0.0000 1
As3 0.5000 0.0000 0.0000 1
Ru1 0.5000 0.5000 0.5000 1
```

Entry 2
Material: KAs3Ru
Method: DFT, PBE
State: optimized geometry

```
data_KAs3Ru
_cell_length_a 4.9314
_cell_length_b 4.9314
_cell_length_c 4.9314
_cell_angle_alpha 90.00
_cell_angle_beta 90.00
_cell_angle_gamma 90.00
_symmetry_space_group_name_H-M 'P 1'
_symmetry_Int_Tables_number 1
loop_
_symmetry_equiv_pos_as_xyz
'x,y,z'
loop_
_atom_site_label
_atom_site_fract_x
_atom_site_fract_y
_atom_site_fract_z
_atom_site_occupancy
K1 0.0000 0.0000 0.0000 1
As1 0.0000 0.5000 0.5000 1
As2 0.5000 0.0000 0.5000 1
As3 0.5000 0.5000 0.0000 1
Ru1 0.5000 0.5000 0.5000 1
```

Quick look at relative energies in meV/atom: entry 1 2085; entry 2 0.

Entry 1
Material: KAs2RuSe
Method: DFT, PBE
State: optimized geometry

```
data_KAs2RuSe
_cell_length_a 5.3393
_cell_length_b 5.3393
_cell_length_c 5.3866
_cell_angle_alpha 90.00
_cell_angle_beta 90.00
_cell_angle_gamma 90.00
_symmetry_space_group_name_H-M 'P 1'
_symmetry_Int_Tables_number 1
loop_
_symmetry_equiv_pos_as_xyz
'x,y,z'
loop_
_atom_site_label
_atom_site_fract_x
_atom_site_fract_y
_atom_site_fract_z
_atom_site_occupancy
K1 0.0000 0.0000 0.0000 1
As1 0.0000 0.5000 0.0000 1
As2 0.5000 0.0000 0.0000 1
Ru1 0.5000 0.5000 0.5000 1
Se1 0.0000 0.0000 0.5000 1
```

Entry 2
Material: KAs2RuSe
Method: DFT, PBE
State: optimized geometry

```
data_KAs2RuSe
_cell_length_a 4.7098
_cell_length_b 4.7098
_cell_length_c 5.7554
_cell_angle_alpha 90.00
_cell_angle_beta 90.00
_cell_angle_gamma 90.00
_symmetry_space_group_name_H-M 'P 1'
_symmetry_Int_Tables_number 1
loop_
_symmetry_equiv_pos_as_xyz
'x,y,z'
loop_
_atom_site_label
_atom_site_fract_x
_atom_site_fract_y
_atom_site_fract_z
_atom_site_occupancy
K1 0.0000 0.0000 0.0000 1
As1 0.0000 0.5000 0.5000 1
As2 0.5000 0.0000 0.5000 1
Ru1 0.5000 0.5000 0.5000 1
Se1 0.5000 0.5000 0.0000 1
```

Quick look at relative energies in meV/atom: entry 1 2059; entry 2 0.